DFT (PBE-GGA) results for a geometry-optimized Ba6NaCa6 structure.

It has space group P6/mmm (No. 191), with a = 7.6317 Å, b = 7.6317 Å, c = 14.2344 Å, α = 90.00°, β = 90.00° and γ = 120.00°. The inequivalent atoms are Ba at (0.0000, 0.0000, 0.1496), Ba at (0.3333, 0.6667, 0.0000), Ba at (0.3333, 0.6667, 0.5000), Na at (0.0000, 0.0000, 0.5000) and Ca at (0.0000, 0.5000, 0.2578).

The calculation puts the formation energy at 137 kJ/mol of formula units.